The following is a DFT calculation (PBE) of crystalline NaReSiMo at its relaxed geometry. Values from VASP.

Geometry as Quantum ESPRESSO input:
```
&SYSTEM
  ibrav = 0, nat = 16, ntyp = 4
/
ATOMIC_SPECIES
Na 22.99 Na.upf
Re 186.21 Re.upf
Si 28.09 Si.upf
Mo 95.94 Mo.upf
CELL_PARAMETERS angstrom
6.189 0.000 0.000
0.000 6.189 0.000
0.000 0.000 6.189
ATOMIC_POSITIONS angstrom
Na 0.000 0.000 0.000
Na 0.000 3.095 3.095
Na 3.095 0.000 3.095
Na 3.095 3.095 0.000
Re 0.000 0.000 3.095
Re 0.000 3.095 0.000
Re 3.095 0.000 0.000
Re 3.095 3.095 3.095
Si 1.547 1.547 4.642
Si 1.547 4.642 1.547
Si 4.642 1.547 1.547
Si 4.642 4.642 4.642
Mo 1.547 1.547 1.547
Mo 1.547 4.642 4.642
Mo 4.642 1.547 4.642
Mo 4.642 4.642 1.547
```

Calculated values
energy relative to the lowest polymorph listed for this composition: 0.000 eV/atom
volume: 14.8 Å³ per atom


The following is a DFT calculation (PBE) of crystalline NaReSnMo at its relaxed geometry. Values from VASP.

Geometry as Quantum ESPRESSO input:
```
&SYSTEM
  ibrav = 0, nat = 16, ntyp = 4
/
ATOMIC_SPECIES
Na 22.99 Na.upf
Re 186.21 Re.upf
Sn 118.71 Sn.upf
Mo 95.94 Mo.upf
CELL_PARAMETERS angstrom
6.472 0.000 0.000
0.000 6.472 0.000
0.000 0.000 6.472
ATOMIC_POSITIONS angstrom
Na 0.000 0.000 0.000
Na 0.000 3.236 3.236
Na 3.236 0.000 3.236
Na 3.236 3.236 0.000
Re 0.000 0.000 3.236
Re 0.000 3.236 0.000
Re 3.236 0.000 0.000
Re 3.236 3.236 3.236
Sn 1.618 1.618 4.854
Sn 1.618 4.854 1.618
Sn 4.854 1.618 1.618
Sn 4.854 4.854 4.854
Mo 1.618 1.618 1.618
Mo 1.618 4.854 4.854
Mo 4.854 1.618 4.854
Mo 4.854 4.854 1.618
```

Calculated values
energy relative to the lowest polymorph listed for this composition: 0.000 eV/atom
volume: 16.9 Å³ per atom


The following is a DFT calculation (PBE) of crystalline Na4MoS4 at its relaxed geometry. Values from VASP.

Geometry as Quantum ESPRESSO input:
```
&SYSTEM
  ibrav = 0, nat = 18, ntyp = 3
/
ATOMIC_SPECIES
Na 22.99 Na.upf
Mo 95.94 Mo.upf
S 32.06 S.upf
CELL_PARAMETERS angstrom
7.802 0.000 0.000
0.000 7.802 0.000
0.000 0.000 6.909
ATOMIC_POSITIONS angstrom
Na 0.711 2.354 3.236
Na 1.547 3.190 6.690
Na 2.354 7.091 3.673
Na 3.190 6.255 0.219
Na 4.612 1.547 0.219
Na 5.448 0.711 3.673
Na 6.255 4.612 6.690
Na 7.091 5.448 3.236
Mo 0.000 0.000 0.000
Mo 3.901 3.901 3.454
S 0.691 5.992 5.639
S 1.810 0.691 1.270
S 2.091 4.592 2.185
S 3.210 2.091 4.724
S 4.592 5.711 4.724
S 5.711 3.210 2.185
S 5.992 7.111 1.270
S 7.111 1.810 5.639
```

Calculated values
DFT total energy: -4.49 eV per atom
volume: 23.4 Å³ per atom


What did the third record say?
The following is a DFT calculation (PBE) of crystalline Na4MoS4 at its relaxed geometry. Values from VASP.

Geometry as Quantum ESPRESSO input:
```
&SYSTEM
  ibrav = 0, nat = 18, ntyp = 3
/
ATOMIC_SPECIES
Na 22.99 Na.upf
Mo 95.94 Mo.upf
S 32.06 S.upf
CELL_PARAMETERS angstrom
7.802 0.000 0.000
0.000 7.802 0.000
0.000 0.000 6.909
ATOMIC_POSITIONS angstrom
Na 0.711 2.354 3.236
Na 1.547 3.190 6.690
Na 2.354 7.091 3.673
Na 3.190 6.255 0.219
Na 4.612 1.547 0.219
Na 5.448 0.711 3.673
Na 6.255 4.612 6.690
Na 7.091 5.448 3.236
Mo 0.000 0.000 0.000
Mo 3.901 3.901 3.454
S 0.691 5.992 5.639
S 1.810 0.691 1.270
S 2.091 4.592 2.185
S 3.210 2.091 4.724
S 4.592 5.711 4.724
S 5.711 3.210 2.185
S 5.992 7.111 1.270
S 7.111 1.810 5.639
```

Calculated values
DFT total energy: -4.49 eV per atom
volume: 23.4 Å³ per atom